Sm2Dy5Y | PBE-GGA | relaxed

Lattice parameters (Å, degrees): 5.039 7.140 14.280 90.00 90.00 90.00
Sites, in units of the cell vectors:
Dy  0.000  0.999  0.751
Dy  0.500  0.251  0.375
Dy  0.000  0.501  0.251
Dy  0.500  0.751  0.125
Dy  0.000  0.499  0.749
Dy  0.000  0.000  0.000
Dy  0.000  0.001  0.249
Dy  0.500  0.749  0.625
Dy  0.000  0.500  0.500
Dy  0.500  0.249  0.875
Sm  0.500  0.250  0.625
Sm  0.500  0.250  0.125
Sm  0.500  0.750  0.875
Sm  0.500  0.750  0.375
Y  0.000  0.500  0.000
Y  0.000  0.000  0.500

ΔH_f (0 K): 17 meV/atom
energy: -4.847 eV/atom